[1]
A plane-wave DFT calculation with PBE was carried out for K2Au2S after structural relaxation.

Unit cell a=6.475 b=6.475 c=7.382 alpha=90.00 beta=90.00 gamma=90.00
Atoms (fractional coordinates):
K 0.000 0.500 0.250
K 0.000 0.500 0.750
K 0.500 0.000 0.250
K 0.500 0.000 0.750
Au 0.000 0.000 0.175
Au 0.000 0.000 0.825
Au 0.500 0.500 0.325
Au 0.500 0.500 0.675
S 0.000 0.000 0.500
S 0.500 0.500 0.000

Formation energy without anion corrections: -0.509 eV per atom
ΔE to the lowest computed polymorph: 0.0 meV/atom

[2]
A plane-wave DFT calculation with PBE was carried out for K6Au3S after structural relaxation.

Unit cell a=9.564 b=13.366 c=5.602 alpha=90.00 beta=90.00 gamma=90.00
Atoms (fractional coordinates):
K 0.017 0.238 0.000
K 0.152 0.081 0.500
K 0.182 0.436 0.500
K 0.318 0.936 0.000
K 0.348 0.581 0.000
K 0.483 0.738 0.500
K 0.517 0.262 0.500
K 0.652 0.419 0.000
K 0.682 0.064 0.000
K 0.818 0.564 0.500
K 0.848 0.919 0.500
K 0.983 0.762 0.000
Au 0.000 0.500 0.000
Au 0.134 0.697 0.500
Au 0.366 0.197 0.000
Au 0.500 0.000 0.500
Au 0.634 0.803 0.000
Au 0.866 0.303 0.500
S 0.000 0.000 0.000
S 0.500 0.500 0.500

Formation energy without anion corrections: -0.452 eV per atom

> Which of these has the lowest formation energy without anion corrections?

K2Au2S